A plane-wave DFT calculation with GGA-PBEsol was carried out for a relaxed Sc4TcTe crystal.

Cell: 7.8463 7.8463 7.8463 Å, 90.00 90.00 90.00°
Space group F-43m (No. 216)
Unique sites:
Sc (0.1226, 0.1226, 0.3774) x16
Tc (0.2500, 0.2500, 0.7500) x4
Te (0.0000, 0.0000, 0.0000) x4

Values from the calculation:
- formation energy without anion corrections (eV per atom) = 0.346
- total magnetic moment (μB per cell) = 0.0
- VASP energy (eV/atom) = -6.5233


A plane-wave DFT calculation with GGA-PBEsol was carried out for a relaxed ZnH6Se2O8 crystal.

Cell: 7.0094 6.9493 8.3413 Å, 90.00 118.69 90.00°
Space group P2_1/c (No. 14)
Unique sites:
Zn (0.0000, 0.0000, 0.0000) x2
H (0.1068, 0.2185, 0.3725) x4
H (0.2134, 0.1668, 0.5861) x4
H (0.4966, 0.5014, 0.7525) x4
Se (0.3278, 0.7101, 0.3677) x4
O (0.0706, 0.6585, 0.3232) x4
O (0.1950, 0.2254, 0.0008) x4
O (0.2892, 0.5885, 0.7382) x4
O (0.3450, 0.5329, 0.2177) x4

Values from the calculation:
- total magnetic moment (μB per cell) = 0.0
- VASP energy (eV/atom) = -5.1911


A plane-wave DFT calculation with GGA-PBEsol was carried out for a relaxed Li3Mn7O16 crystal.

Cell: 5.6750 5.6750 28.0226 Å, 90.00 90.00 120.00°
Space group R3m (No. 160, hexagonal axes)
Unique sites:
Li (0.0000, 0.0000, 0.0000) x3
Li (0.0000, 0.0000, 0.1228) x3
Li (0.0000, 0.0000, 0.5000) x3
Mn (0.0000, 0.0000, 0.3099) x3
Mn (0.0059, 0.5029, 0.5604) x9
Mn (0.1705, 0.3411, 0.3951) x9
O (0.0000, 0.0000, 0.1923) x3
O (0.0000, 0.0000, 0.4297) x3
O (0.0000, 0.0000, 0.6923) x3
O (0.0000, 0.0000, 0.9306) x3
O (0.0175, 0.5087, 0.4273) x9
O (0.0407, 0.5204, 0.9341) x9
O (0.1759, 0.3518, 0.5284) x9
O (0.1856, 0.3712, 0.0210) x9

Values from the calculation:
- formation energy without anion corrections (eV per atom) = -1.723
- total magnetic moment (μB per cell) = 60.0
- VASP energy (eV/atom) = -7.8082


A plane-wave DFT calculation with GGA-PBEsol was carried out for a relaxed TaCd2Te crystal.

Cell: 4.0163 4.0163 10.1886 Å, 90.00 90.00 90.00°
Space group I4/mmm (No. 139)
Unique sites:
Ta (0.0000, 0.0000, 0.0000) x2
Cd (0.0000, 0.5000, 0.2500) x4
Te (0.0000, 0.0000, 0.5000) x2

Values from the calculation:
- formation energy without anion corrections (eV per atom) = 0.408
- total magnetic moment (μB per cell) = 0.0
- VASP energy (eV/atom) = -4.2100


A plane-wave DFT calculation with GGA-PBEsol was carried out for a relaxed SbIrF3 crystal.

Cell: 4.2262 4.2262 4.2262 Å, 90.00 90.00 90.00°
Space group Pm-3m (No. 221)
Unique sites:
Sb (0.0000, 0.0000, 0.0000) x1
Ir (0.5000, 0.5000, 0.5000) x1
F (0.0000, 0.5000, 0.5000) x3

Values from the calculation:
- formation energy without anion corrections (eV per atom) = -0.325
- total magnetic moment (μB per cell) = 0.0
- VASP energy (eV/atom) = -4.3576


A plane-wave DFT calculation with GGA-PBEsol was carried out for a relaxed CdWOF2 crystal.

Cell: 4.1549 4.1549 4.4619 Å, 90.00 90.00 90.00°
Space group P4/mmm (No. 123)
Unique sites:
Cd (0.0000, 0.0000, 0.0000) x1
W (0.5000, 0.5000, 0.5000) x1
O (0.0000, 0.0000, 0.5000) x1
F (0.0000, 0.5000, 0.0000) x2

Values from the calculation:
- formation energy without anion corrections (eV per atom) = 0.091
- total magnetic moment (μB per cell) = 4.0
- VASP energy (eV/atom) = -4.7310